Computed, not measured: crystalline BaBi6P4O20 at its relaxed geometry at the PBE-GGA level of DFT.

Cell lengths 7.143, 7.808, 9.277 Å; angles 107.24, 92.45, 111.65 degrees
Space group P-1 (No. 2)
One atom of each set of equivalent atoms:
1 Ba 0.000 0.000 0.000 (multiplicity 1)
2 Bi 0.202 0.693 0.673 (multiplicity 2)
3 Bi 0.326 0.120 0.509 (multiplicity 2)
4 Bi 0.444 0.798 0.092 (multiplicity 2)
5 P 0.040 0.268 0.750 (multiplicity 2)
6 P 0.353 0.405 0.261 (multiplicity 2)
7 O 0.047 0.788 0.423 (multiplicity 2)
8 O 0.133 0.820 0.164 (multiplicity 2)
9 O 0.137 0.289 0.288 (multiplicity 2)
10 O 0.147 0.494 0.824 (multiplicity 2)
11 O 0.195 0.169 0.755 (multiplicity 2)
12 O 0.328 0.902 0.901 (multiplicity 2)
13 O 0.362 0.331 0.088 (multiplicity 2)
14 O 0.399 0.628 0.314 (multiplicity 2)
15 O 0.445 0.973 0.637 (multiplicity 2)
16 O 0.490 0.632 0.643 (multiplicity 2)

Output
Uncorrected energy, eV per atom: -6.65
ΔE_f (raw), meV/atom: -1940
Total magnetic moment, Bohr magnetons per cell: 0.0